This record from the Alexandria database describes Pr6ErAl after structural relaxation. The functional is PBE-GGA. Values from VASP.

Output
Calculated formation energy ... -0.06 eV per atom
Energy above the lowest structure with this stoichiometry ... 0.000 eV per atom
Symmetry ... No. 123
N(E_F) ... 8.64 states/eV/f.u.

Cell and atoms, written as Quantum ESPRESSO input:
```
&SYSTEM
  ibrav = 0, nat = 8, ntyp = 3
/
ATOMIC_SPECIES
Pr 140.91 Pr.upf
Er 167.26 Er.upf
Al 26.98 Al.upf
ATOMIC_POSITIONS angstrom
Pr -1.143 1.917 2.922
Pr -7.042 3.117 2.182
Pr -4.706 5.152 3.921
Pr -4.458 1.649 4.058
Pr -3.479 -0.118 1.183
Pr -0.731 -1.735 3.013
Er 0.000 0.000 0.000
Al -3.727 3.385 1.045
CELL_PARAMETERS angstrom
-3.067 -3.771 1.274
1.605 0.300 4.752
-7.454 6.769 2.090
```